w) Zn2PtCl | Alexandria via LeMat-Bulk | GGA-PBEsol | relaxed; calculated volume = 61.4 Å³/cell
1.0
4.637 0.000 0.000
0.000 4.637 0.000
0.000 0.000 2.855
Zn Pt Cl
2 1 1
direct
0.000 0.500 0.000
0.500 0.000 0.000
0.000 0.000 0.500
0.500 0.500 0.500

---

x) Zn2PtCl | Alexandria via LeMat-Bulk | GGA-PBEsol | relaxed; calculated volume = 63.8 Å³/cell
1.0
1.530 -2.525 0.000
1.530 2.525 0.000
0.000 0.000 8.251
Zn Pt Cl
2 1 1
direct
0.000 0.000 0.000
0.500 0.500 0.247
0.000 0.000 0.484
0.500 0.500 0.783

---

Relative energies, unit eV/atom: w) 0.000; x) 0.226